[1]
# CaCuPdPb PBE relaxed
# Crystal system   cubic
# Uncorrected energy   -4.0626 eV per atom
# Formation enthalpy at 0 K   -313 meV per atom
data_CaCuPdPb
_cell_length_a 6.898
_cell_length_b 6.898
_cell_length_c 6.898
_cell_angle_alpha 90.00
_cell_angle_beta 90.00
_cell_angle_gamma 90.00
_symmetry_space_group_name_H-M 'F -4 3 m'
_symmetry_Int_Tables_number 216
_symmetry_space_group_name_Hall 'F -4 2 3'
loop_
_atom_site_label
_atom_site_fract_x
_atom_site_fract_y
_atom_site_fract_z
_atom_site_occupancy
Ca1 0.000 0.000 0.000 1
Cu1 0.250 0.250 0.250 1
Pd1 0.250 0.250 0.750 1
Pb1 0.000 0.000 0.500 1

[2]
# NiAsW2 PBE relaxed
# Crystal system   orthorhombic
# Uncorrected energy   -8.9087 eV per atom
# Formation enthalpy at 0 K   176 meV per atom
data_NiAsW2
_cell_length_a 3.122
_cell_length_b 4.349
_cell_length_c 8.460
_cell_angle_alpha 90.00
_cell_angle_beta 90.00
_cell_angle_gamma 90.00
_symmetry_space_group_name_H-M 'I m m 2'
_symmetry_Int_Tables_number 44
loop_
_symmetry_equiv_pos_as_xyz
'x,y,z'
'-x,-y,z'
'-x,y,z'
'x,-y,z'
'x+1/2,y+1/2,z+1/2'
'-x+1/2,-y+1/2,z+1/2'
'-x+1/2,y+1/2,z+1/2'
'x+1/2,-y+1/2,z+1/2'
loop_
_atom_site_label
_atom_site_fract_x
_atom_site_fract_y
_atom_site_fract_z
_atom_site_occupancy
Ni1 0.000 0.000 0.000 1
As1 0.000 0.500 0.709 1
W1 0.000 0.000 0.455 1
W2 0.000 0.500 0.240 1